Record 1
# PaVBi2O8

An optimized crystal structure of PaVBi2O8 (PBE+U, the Alexandria database).

Structure (POSCAR):
```
PaVBi2O8
1.0
5.173 -0.021 -0.003
0.005 5.166 -0.006
0.004 0.008 6.683
Pa V Bi O
1 1 2 8
direct
0.000 0.000 0.500
0.000 0.000 0.000
0.500 0.500 0.762
0.500 0.500 0.238
0.174 0.824 0.233
0.751 0.753 0.000
0.826 0.176 0.233
0.826 0.176 0.767
0.249 0.247 0.000
0.174 0.824 0.767
0.699 0.700 0.500
0.301 0.300 0.500
```

***

Record 2
# PaV2BiO8

An optimized crystal structure of PaV2BiO8 (PBE+U, the Alexandria database).

Structure (POSCAR):
```
PaV2BiO8
1.0
-1.114 -5.636 -2.029
2.580 0.255 5.513
-5.380 2.828 0.425
Pa V Bi O
1 2 1 8
direct
0.250 0.750 0.500
0.750 0.250 0.500
0.500 0.500 0.000
0.000 0.000 0.000
0.377 0.053 0.324
0.325 0.518 0.193
0.325 0.132 0.807
0.729 0.053 0.676
0.868 0.675 0.193
0.947 0.271 0.324
0.947 0.623 0.676
0.482 0.675 0.807
```

***

Respective spin magnetization values: 0.00, 2.00 μB per formula unit.
Respective total energy values: -0.54246, -0.58084 Ry/atom.